No. 1
A plane-wave DFT calculation with PBE was carried out for an optimized crystal structure of Co8Cu.

Summary:
Energy above the lowest structure with this stoichiometry ... 0 meV/atom
Electronic total energy ... -6.721 eV per atom
Energy relative to the elements ... 0.051 eV per atom

POSCAR file:
```
Co8Cu
1.0
-2.394 4.381 -2.485
0.763 -1.824 -5.215
-4.166 0.600 -6.181
Co Cu
8 1
Direct
0.663 0.337 0.000 Co
0.000 0.000 0.663 Co
0.330 0.670 0.670 Co
0.337 0.663 0.000 Co
0.670 0.330 0.330 Co
0.330 0.670 0.330 Co
0.000 0.000 0.337 Co
0.670 0.330 0.670 Co
0.000 0.000 0.000 Cu
```



No. 2
A plane-wave DFT calculation with PBE was carried out for an optimized crystal structure of Nb5As.

Summary:
Electronic total energy ... -9.363 eV per atom
Energy relative to the elements ... -0.197 eV per atom

POSCAR file:
```
Nb5As
1.0
-2.989 1.579 -0.662
-1.458 -1.031 4.127
3.303 6.382 0.311
Nb As
5 1
Direct
0.000 0.338 0.675 Nb
0.500 0.500 0.000 Nb
0.500 0.166 0.332 Nb
0.000 0.662 0.325 Nb
0.500 0.834 0.668 Nb
0.000 0.000 0.000 As
```